K2NdZn2Te4 | PBE | optimized geometry

Structure (POSCAR):
```
K2NdZn2Te4
1.0
-1.214 -1.471 -4.240
6.394 -5.500 0.077
-6.173 -2.845 5.304
Te K Zn Nd
4 2 2 1
direct
0.483 0.247 0.965
0.206 0.179 0.412
0.517 0.753 0.035
0.794 0.821 0.588
0.870 0.439 0.741
0.130 0.561 0.259
0.674 0.992 0.348
0.326 0.008 0.652
0.000 0.000 0.000
```

Summary:
Formation energy from raw total energies ... -866 meV per atom
Symmetry ... C2/m
Spin magnetization ... 0.000 μB/atom